Version one
Below is a relaxed Dy2Pa2Ru3 crystal, with properties calculated at the PBE level.

The space group is P2_1/c (14).

Unit cell a=5.2592 b=10.1515 c=5.9094 alpha=90.00 beta=93.43 gamma=90.00
Closest atoms and distances in Å follow each position.
Atoms (fractional coordinates):
Dy 0.9486 0.6442 0.8668  4 Ru 2.92-3.03
Dy 0.4486 0.8558 0.8668  4 Ru 2.92-3.03
Dy 0.5514 0.1442 0.1332  4 Ru 2.92-3.03
Dy 0.0514 0.3558 0.1332  4 Ru 2.92-3.03
Pa 0.6238 0.3673 0.6345  4 Ru 2.63-2.70
Pa 0.8762 0.8673 0.3655  4 Ru 2.63-2.70
Pa 0.1238 0.1327 0.6345  4 Ru 2.63-2.70
Pa 0.3762 0.6327 0.3655  4 Ru 2.63-2.70
Ru 0.5000 0.5000 0.0000  2 Pa 2.66, 2 Dy 2.92
Ru 0.0000 0.0000 0.0000  2 Pa 2.66, 2 Dy 2.92
Ru 0.6271 0.1014 0.6408  3 Pa 2.63-2.70, 1 Ru 2.92
Ru 0.8729 0.6014 0.3592  3 Pa 2.63-2.70, 1 Ru 2.92
Ru 0.1271 0.3986 0.6408  3 Pa 2.63-2.70, 1 Ru 2.92
Ru 0.3729 0.8986 0.3592  3 Pa 2.63-2.70, 1 Ru 2.92


Version two
Below is a relaxed Dy2Pa2Ru3 crystal, with properties calculated at the PBE level.

The space group is P-1 (2).

Unit cell a=5.3163 b=4.3547 c=7.5130 alpha=77.61 beta=69.62 gamma=89.93
Closest atoms and distances in Å follow each position.
Atoms (fractional coordinates):
Dy 0.3811 0.8523 0.2396  6 Ru 2.93-3.14
Dy 0.6189 0.1477 0.7604  6 Ru 2.93-3.14
Pa 0.1261 0.6338 0.7470  3 Ru 2.56-2.70
Pa 0.8739 0.3662 0.2530  3 Ru 2.56-2.70
Ru 0.0000 0.0000 0.0000  4 Pa 2.65-2.92
Ru 0.2299 0.2326 0.5327  2 Pa 2.56-2.70
Ru 0.7701 0.7674 0.4673  2 Pa 2.56-2.70


Which of them is most stable? Easy: version one.


Version one
Below is a relaxed Dy2PaRu2 crystal, with properties calculated at the PBE level.

The space group is P2_1/c (14).

Unit cell a=7.0542 b=6.6452 c=10.2004 alpha=90.00 beta=98.33 gamma=90.00
Closest atoms and distances in Å follow each position.
Atoms (fractional coordinates):
Dy 0.4334 0.2432 0.0198  3 Ru 2.86-3.01
Dy 0.9334 0.2568 0.0198  3 Ru 2.86-3.01
Dy 0.0666 0.7432 0.9802  3 Ru 2.86-3.01
Dy 0.5666 0.7568 0.9802  3 Ru 2.86-3.01
Dy 0.8798 0.6546 0.2813  5 Ru 2.89-3.14
Dy 0.3798 0.8454 0.2813  5 Ru 2.89-3.14
Dy 0.6202 0.1546 0.7187  5 Ru 2.89-3.14
Dy 0.1202 0.3454 0.7187  5 Ru 2.89-3.14
Pa 0.5003 0.3300 0.3637  2 Ru 2.41-2.53
Pa 0.4997 0.6700 0.6363  2 Ru 2.41-2.53
Pa 0.0003 0.1700 0.3637  2 Ru 2.41-2.53
Pa 0.9997 0.8300 0.6363  2 Ru 2.41-2.53
Ru 0.7248 0.0442 0.1972  1 Pa 2.53
Ru 0.2248 0.4558 0.1972  1 Pa 2.53
Ru 0.7752 0.5442 0.8028  1 Pa 2.53
Ru 0.2752 0.9558 0.8028  1 Pa 2.53
Ru 0.7803 0.4355 0.5126  1 Pa 2.41
Ru 0.2803 0.0645 0.5126  1 Pa 2.41
Ru 0.7197 0.9355 0.4874  1 Pa 2.41
Ru 0.2197 0.5645 0.4874  1 Pa 2.41


Version two
Below is a relaxed Dy2PaRu2 crystal, with properties calculated at the PBE level.

The space group is C2/c (15).

Unit cell a=5.8485 b=5.8485 c=7.8498 alpha=80.39 beta=80.39 gamma=60.53
Closest atoms and distances in Å follow each position.
Atoms (fractional coordinates):
Dy 0.4761 0.2209 0.1515  6 Ru 3.10-3.22, 2 Pa 3.43-3.46
Dy 0.7791 0.5239 0.3485  6 Ru 3.10-3.22, 2 Pa 3.43-3.46
Dy 0.5239 0.7791 0.8485  6 Ru 3.10-3.22, 2 Pa 3.43-3.46
Dy 0.2209 0.4761 0.6515  6 Ru 3.10-3.22, 2 Pa 3.43-3.46
Pa 0.1363 0.8637 0.2500  4 Ru 2.47-2.72
Pa 0.8637 0.1363 0.7500  4 Ru 2.47-2.72
Ru 0.7393 0.0025 0.5127  2 Pa 2.47-2.72
Ru 0.9975 0.2607 0.9873  2 Pa 2.47-2.72
Ru 0.2607 0.9975 0.4873  2 Pa 2.47-2.72
Ru 0.0025 0.7393 0.0127  2 Pa 2.47-2.72


Which of them is most stable? Easy: version two.


Version one
Below is a relaxed DyPaRu4 crystal, with properties calculated at the PBE level.

The space group is F-43m (216).

Unit cell a=5.3320 b=5.3320 c=5.3320 alpha=60.00 beta=60.00 gamma=60.00
Closest atoms and distances in Å follow each position.
Atoms (fractional coordinates):
Ru 0.6248 0.6248 0.1255  6 Ru 2.66-2.67
Ru 0.6248 0.1255 0.6248  6 Ru 2.66-2.67
Ru 0.6248 0.6248 0.6248  6 Ru 2.66-2.67
Ru 0.1255 0.6248 0.6248  6 Ru 2.66-2.67
Pa 0.0000 0.0000 0.0000  12 Ru 3.13, 4 Dy 3.27
Dy 0.2500 0.2500 0.2500  12 Ru 3.13, 4 Pa 3.27


Version two
Below is a relaxed DyPaRu4 crystal, with properties calculated at the PBE level.

The space group is P4/mmm (123).

Unit cell a=4.2566 b=4.2563 c=6.8027 alpha=90.00 beta=90.00 gamma=90.00
Closest atoms and distances in Å follow each position.
Atoms (fractional coordinates):
Dy 0.5013 0.4973 0.9981  8 Ru 2.88
Pa 0.0013 0.9973 0.4981  8 Ru 2.58
Ru 0.5013 0.9973 0.2842  2 Pa 2.58, 2 Dy 2.88
Ru 0.5013 0.9973 0.7121  2 Pa 2.58, 2 Dy 2.88
Ru 0.0013 0.4973 0.7121  2 Pa 2.58, 2 Dy 2.88
Ru 0.0013 0.4973 0.2842  2 Pa 2.58, 2 Dy 2.88


Which of them is most stable? Easy: version one.